Entry 1:
## KCu2Ag (PBE)

Data for a relaxed KCu2Ag crystal.

Output
As for the symmetry: P4/mmm, No. 123. For the spin magnetization, the calculation gives 0.0 Bohr magnetons per cell. For the energy above the most stable polymorph in this dataset, the calculation gives 0.90 eV/f.u.

a = 5.1812 Å, b = 5.1812 Å, c = 2.8652 Å
α = 90.00°, β = 90.00°, γ = 90.00°
Closest atoms and distances in Å follow each position.
Sites, in units of the cell vectors:
K1 0.0000 0.0000 0.0000  2 K 2.87, 8 Cu 2.96
Cu1 0.0000 0.5000 0.5000  2 Cu 2.87, 4 Ag 2.96, 4 K 2.96
Cu2 0.5000 0.0000 0.5000  2 Cu 2.87, 4 Ag 2.96, 4 K 2.96
Ag1 0.5000 0.5000 0.0000  2 Ag 2.87, 8 Cu 2.96

---

Entry 2:
## InBiAu4 (PBE)

Data for a relaxed InBiAu4 crystal.

Output
As for the symmetry: Cmcm, No. 63. For the spin magnetization, the calculation gives 0.0 Bohr magnetons per cell. For the energy above the most stable polymorph in this dataset, the calculation gives 0.00 eV/f.u.

a = 9.8568 Å, b = 9.8568 Å, c = 6.6084 Å
α = 90.00°, β = 90.00°, γ = 155.96°
Closest atoms and distances in Å follow each position.
Sites, in units of the cell vectors:
In1 0.2357 0.7643 0.7500  6 Au 2.80-2.92
In2 0.7643 0.2357 0.2500  6 Au 2.80-2.92
Bi1 0.0912 0.9088 0.2500  11 Au 3.04-3.34
Bi2 0.9088 0.0912 0.7500  11 Au 3.04-3.34
Au1 0.0663 0.9337 0.7500  8 Au 2.93-3.05, 1 Bi 3.04, 1 In 3.27
Au2 0.3428 0.6572 0.0363  3 In 2.80-2.92, 4 Au 2.82-3.05, 2 Bi 3.07
Au3 0.3428 0.6572 0.4637  3 In 2.80-2.92, 4 Au 2.82-3.05, 2 Bi 3.07
Au4 0.5000 0.5000 0.0000  6 Au 2.93-3.04, 4 Bi 3.17
Au5 0.5000 0.5000 0.5000  6 Au 2.93-3.04, 4 Bi 3.17
Au6 0.6572 0.3428 0.5363  3 In 2.80-2.92, 4 Au 2.82-3.05, 2 Bi 3.07
Au7 0.6572 0.3428 0.9637  3 In 2.80-2.92, 4 Au 2.82-3.05, 2 Bi 3.07
Au8 0.9337 0.0663 0.2500  8 Au 2.93-3.05, 1 Bi 3.04, 1 In 3.27

---

Entry 3:
## CuNi2Os (PBE)

Data for a relaxed CuNi2Os crystal.

Output
As for the symmetry: Cmmm, No. 65. For the spin magnetization, the calculation gives 0.0 Bohr magnetons per cell. For the energy above the most stable polymorph in this dataset, the calculation gives 0.23 eV/f.u.

a = 4.4752 Å, b = 4.4752 Å, c = 2.5641 Å
α = 90.00°, β = 90.00°, γ = 109.62°
Closest atoms and distances in Å follow each position.
Sites, in units of the cell vectors:
Cu1 0.0000 0.0000 0.0000  2 Cu 2.56, 8 Ni 2.58, 2 Os 2.58
Ni1 0.0000 0.5000 0.5000  4 Ni 2.56-2.58, 4 Os 2.58, 4 Cu 2.58
Ni2 0.5000 0.0000 0.5000  4 Ni 2.56-2.58, 4 Os 2.58, 4 Cu 2.58
Os1 0.5000 0.5000 0.0000  2 Os 2.56, 8 Ni 2.58, 2 Cu 2.58

---

Entry 4:
## K2LaTe (PBE)

Data for a relaxed K2LaTe crystal.

Output
As for the symmetry: Imm2, No. 44. For the spin magnetization, the calculation gives 1.3 Bohr magnetons per cell. As for the total energy: -0.109 Ha/atom.

a = 8.7934 Å, b = 8.7934 Å, c = 8.7934 Å
α = 152.81°, β = 141.16°, γ = 48.05°
Closest atoms and distances in Å follow each position.
Sites, in units of the cell vectors:
K1 0.0000 0.0000 0.0000  4 Te 3.60, 2 K 3.97
K2 0.6674 0.1674 0.5000  2 Te 3.70, 4 K 3.97-4.13
La1 0.3268 0.8268 0.5000  2 Te 3.17
Te1 0.4760 0.4760 0.0000  2 La 3.17

---

Entry 5:
## TiZnFeAu (PBE)

Data for a relaxed TiZnFeAu crystal.

Output
As for the symmetry: F-43m, No. 216. For the spin magnetization, the calculation gives 1.2 Bohr magnetons per cell. As for the total energy: -0.197 Ha/atom.

a = 4.3772 Å, b = 4.3772 Å, c = 4.3772 Å
α = 60.00°, β = 60.00°, γ = 60.00°
Closest atoms and distances in Å follow each position.
Sites, in units of the cell vectors:
Ti1 0.0000 0.0000 0.0000  4 Au 2.68, 4 Fe 2.68
Zn1 0.5000 0.5000 0.5000  4 Au 2.68, 4 Fe 2.68
Fe1 0.2500 0.2500 0.2500  4 Ti 2.68, 4 Zn 2.68
Au1 0.7500 0.7500 0.7500  4 Zn 2.68, 4 Ti 2.68

---

Entry 6:
## Li2FeSbH (PBE)

Data for a relaxed Li2FeSbH crystal.

Output
As for the symmetry: P4/mmm, No. 123. For the spin magnetization, the calculation gives 2.7 Bohr magnetons per cell. As for the total energy: -0.152 Ha/atom.

a = 3.9795 Å, b = 3.9795 Å, c = 3.9853 Å
α = 90.00°, β = 90.00°, γ = 90.00°
Closest atoms and distances in Å follow each position.
Sites, in units of the cell vectors:
Li1 0.0000 0.5000 0.0000  2 H 1.99
Li2 0.5000 0.0000 0.0000  2 H 1.99
Fe1 0.0000 0.0000 0.5000  2 H 1.99
Sb1 0.5000 0.5000 0.5000  4 Fe 2.81, 8 Li 2.82
H1 0.0000 0.0000 0.0000  4 Li 1.99, 2 Fe 1.99

---

Entry 7:
## Hf2MgScS (PBE)

Data for a relaxed Hf2MgScS crystal.

Output
As for the symmetry: P4/mmm, No. 123. For the spin magnetization, the calculation gives 0.0 Bohr magnetons per cell. As for the total energy: -0.206 Ha/atom.

a = 5.1599 Å, b = 5.1599 Å, c = 4.7544 Å
α = 90.00°, β = 90.00°, γ = 90.00°
Closest atoms and distances in Å follow each position.
Sites, in units of the cell vectors:
Hf1 0.0000 0.5000 0.0000  2 Sc 2.58
Hf2 0.5000 0.0000 0.0000  2 Sc 2.58
Mg1 0.0000 0.0000 0.5000  8 Hf 3.51, 4 S 3.65
Sc1 0.5000 0.5000 0.0000  2 S 2.38, 4 Hf 2.58
S1 0.5000 0.5000 0.5000  2 Sc 2.38

---

Entry 8:
## NbCo2PtN (PBE)

Data for a relaxed NbCo2PtN crystal.

Output
As for the symmetry: P4/mmm, No. 123. For the spin magnetization, the calculation gives 1.9 Bohr magnetons per cell. As for the total energy: -0.296 Ha/atom.

a = 3.8600 Å, b = 3.8600 Å, c = 4.1603 Å
α = 90.00°, β = 90.00°, γ = 90.00°
Closest atoms and distances in Å follow each position.
Sites, in units of the cell vectors:
Nb1 0.0000 0.0000 0.0000  2 N 2.08
Co1 0.0000 0.5000 0.5000  2 N 1.93
Co2 0.5000 0.0000 0.5000  2 N 1.93
Pt1 0.5000 0.5000 0.0000  4 Nb 2.73, 8 Co 2.84
N1 0.0000 0.0000 0.5000  4 Co 1.93, 2 Nb 2.08

---

Entry 9:
## FePPdCl2 (PBE)

Data for a relaxed FePPdCl2 crystal.

Output
As for the symmetry: P4/mmm, No. 123. For the spin magnetization, the calculation gives 0.0 Bohr magnetons per cell. For the energy above the most stable polymorph in this dataset, the calculation gives 0.00 eV/f.u.

a = 4.6559 Å, b = 4.6559 Å, c = 4.2800 Å
α = 90.00°, β = 90.00°, γ = 90.00°
Closest atoms and distances in Å follow each position.
Sites, in units of the cell vectors:
Fe1 0.0000 0.0000 0.0000  2 P 2.14, 4 Cl 2.33
P1 0.0000 0.0000 0.5000  2 Fe 2.14
Pd1 0.5000 0.5000 0.5000  8 Cl 3.16, 4 P 3.29
Cl1 0.0000 0.5000 0.0000  2 Fe 2.33
Cl2 0.5000 0.0000 0.0000  2 Fe 2.33

---

Entry 10:
## Mg2AlCr (PBE)

Data for a relaxed Mg2AlCr crystal.

Output
As for the symmetry: Pm, No. 6. For the spin magnetization, the calculation gives 0.3 Bohr magnetons per cell. As for the total energy: -0.147 Ha/atom.

a = 5.1339 Å, b = 4.7047 Å, c = 6.0118 Å
α = 90.00°, β = 91.15°, γ = 90.00°
Closest atoms and distances in Å follow each position.
Sites, in units of the cell vectors:
Mg1 0.0000 0.0000 0.0000  6 Mg 2.90-3.11, 4 Al 2.91-3.10, 2 Cr 2.91-3.15
Mg2 0.0258 0.0000 0.5181  4 Cr 2.83-2.94, 4 Al 2.85-3.09, 4 Mg 2.90-3.11
Mg3 0.3580 0.5000 0.9985  4 Cr 2.85-3.17, 4 Al 2.94-3.02, 4 Mg 2.95-3.12
Mg4 0.8444 0.5000 0.2674  4 Al 2.89-3.13, 2 Cr 2.92-3.08, 6 Mg 2.94-3.12
Al1 0.4924 0.0000 0.2699  3 Cr 2.78-2.89, 8 Mg 2.85-3.10
Al2 0.8426 0.5000 0.7473  4 Cr 2.75-3.04, 7 Mg 2.89-3.02
Cr1 0.3683 0.5000 0.5252  4 Al 2.75-3.04, 2 Cr 2.77, 5 Mg 2.85-3.08
Cr2 0.5219 0.0000 0.7324  2 Cr 2.77, 3 Al 2.78-2.87, 5 Mg 2.83-2.98

---

Entry 11:
## Ti3CdN (PBE)

Data for a relaxed Ti3CdN crystal.

Output
As for the symmetry: C2/m, No. 12. For the spin magnetization, the calculation gives 0.0 Bohr magnetons per cell. As for the total energy: -0.262 Ha/atom.

a = 9.6600 Å, b = 9.6600 Å, c = 5.7223 Å
α = 105.73°, β = 105.73°, γ = 18.42°
Closest atoms and distances in Å follow each position.
Sites, in units of the cell vectors:
Ti1 0.0764 0.0764 0.4018  1 N 2.03
Ti2 0.1885 0.1885 0.8774  1 N 1.97
Ti3 0.3015 0.3015 0.6769  3 N 2.00-2.12
Ti4 0.6985 0.6985 0.3231  3 N 2.00-2.12
Ti5 0.8115 0.8115 0.1226  1 N 1.97
Ti6 0.9236 0.9236 0.5982  1 N 2.03
Cd1 0.4399 0.4399 0.1055  3 Cd 2.87-3.09, 5 Ti 2.92-3.10
Cd2 0.5601 0.5601 0.8945  3 Cd 2.87-3.09, 5 Ti 2.92-3.10
N1 0.1868 0.1868 0.5319  5 Ti 1.97-2.12
N2 0.8132 0.8132 0.4681  5 Ti 1.97-2.12

---

Entry 12:
## SrCuMo2 (PBE)

Data for a relaxed SrCuMo2 crystal.

Output
As for the symmetry: C2/m, No. 12. For the spin magnetization, the calculation gives 0.0 Bohr magnetons per cell. For the energy above the most stable polymorph in this dataset, the calculation gives 1.86 eV/f.u.

a = 5.9277 Å, b = 5.9277 Å, c = 2.7624 Å
α = 99.09°, β = 99.09°, γ = 125.04°
Closest atoms and distances in Å follow each position.
Sites, in units of the cell vectors:
Sr1 0.0000 0.0000 0.0000  2 Cu 2.74, 2 Sr 2.76
Cu1 0.5000 0.5000 0.0000  2 Sr 2.74, 2 Cu 2.76
Mo1 0.0000 0.5000 0.5000  4 Mo 2.74-2.76
Mo2 0.5000 0.0000 0.5000  4 Mo 2.74-2.76

---

Entry 13:
## LiPmSc2Se4 (PBE)

Data for a relaxed LiPmSc2Se4 crystal.

Output
As for the symmetry: P2/m, No. 10. For the spin magnetization, the calculation gives 0.0 Bohr magnetons per cell. As for the total energy: -0.214 Ha/atom.

a = 6.8451 Å, b = 3.9492 Å, c = 6.9599 Å
α = 90.00°, β = 108.95°, γ = 90.00°
Closest atoms and distances in Å follow each position.
Sites, in units of the cell vectors:
Li1 0.0000 0.0000 0.0000  6 Se 2.81-2.84
Pm1 0.5000 0.5000 0.0000  6 Se 2.90-2.91
Sc1 0.0000 0.5000 0.5000  6 Se 2.72
Sc2 0.5000 0.0000 0.5000  6 Se 2.79-2.81
Se1 0.2333 0.0000 0.7336  3 Sc 2.72-2.81, 1 Li 2.81, 2 Pm 2.91
Se2 0.2460 0.5000 0.2624  3 Sc 2.72-2.79, 2 Li 2.84, 1 Pm 2.90
Se3 0.7540 0.5000 0.7376  3 Sc 2.72-2.79, 2 Li 2.84, 1 Pm 2.90
Se4 0.7667 0.0000 0.2664  3 Sc 2.72-2.81, 1 Li 2.81, 2 Pm 2.91

---

Entry 14:
## Pd5Pt2Au2 (PBE)

Data for a relaxed Pd5Pt2Au2 crystal.

Output
As for the symmetry: Cmce, No. 64. For the spin magnetization, the calculation gives 0.0 Bohr magnetons per cell. For the energy above the most stable polymorph in this dataset, the calculation gives 1.99 eV/f.u.

a = 7.6793 Å, b = 7.6793 Å, c = 6.7792 Å
α = 90.00°, β = 90.00°, γ = 52.19°
Closest atoms and distances in Å follow each position.
Sites, in units of the cell vectors:
Pd1 0.0000 0.0000 0.0000  4 Pt 2.63, 2 Au 2.82
Pd2 0.0276 0.7060 0.6613  3 Pt 2.68-2.73, 3 Au 2.71-2.73
Pd3 0.2060 0.5276 0.1613  3 Pt 2.68-2.73, 3 Au 2.71-2.73
Pd4 0.2940 0.9724 0.6613  3 Pt 2.68-2.73, 3 Au 2.71-2.73
Pd5 0.4724 0.7940 0.1613  3 Pt 2.68-2.73, 3 Au 2.71-2.73
Pd6 0.5000 0.5000 0.5000  4 Pt 2.63, 2 Au 2.82
Pd7 0.5276 0.2060 0.8387  3 Pt 2.68-2.73, 3 Au 2.71-2.73
Pd8 0.7060 0.0276 0.3387  3 Pt 2.68-2.73, 3 Au 2.71-2.73
Pd9 0.7940 0.4724 0.8387  3 Pt 2.68-2.73, 3 Au 2.71-2.73
Pd10 0.9724 0.2940 0.3387  3 Pt 2.68-2.73, 3 Au 2.71-2.73
Pt1 0.1351 0.8649 0.3640  1 Pt 2.59, 8 Pd 2.63-2.73
Pt2 0.3649 0.6351 0.8640  1 Pt 2.59, 8 Pd 2.63-2.73
Pt3 0.6351 0.3649 0.1360  1 Pt 2.59, 8 Pd 2.63-2.73
Pt4 0.8649 0.1351 0.6360  1 Pt 2.59, 8 Pd 2.63-2.73
Au1 0.2048 0.2048 0.0000  7 Pd 2.71-2.82
Au2 0.2952 0.2952 0.5000  7 Pd 2.71-2.82
Au3 0.7048 0.7048 0.5000  7 Pd 2.71-2.82
Au4 0.7952 0.7952 0.0000  7 Pd 2.71-2.82

---

Entry 15:
## RhSeI2O (PBE)

Data for a relaxed RhSeI2O crystal.

Output
As for the symmetry: P4/mmm, No. 123. For the spin magnetization, the calculation gives 1.9 Bohr magnetons per cell. For the energy above the most stable polymorph in this dataset, the calculation gives 1.98 eV/f.u.

a = 5.7549 Å, b = 5.7549 Å, c = 3.7515 Å
α = 90.00°, β = 90.00°, γ = 90.00°
Closest atoms and distances in Å follow each position.
Sites, in units of the cell vectors:
Rh1 0.0000 0.0000 0.0000  8 I 3.43, 2 Rh 3.75
Se1 0.5000 0.5000 0.5000  2 O 1.88
I1 0.0000 0.5000 0.5000  2 Se 2.88
I2 0.5000 0.0000 0.5000  2 Se 2.88
O1 0.5000 0.5000 0.0000  2 Se 1.88

---

Entry 16:
## Nb2InTc (PBE)

Data for a relaxed Nb2InTc crystal.

Output
As for the symmetry: Fm-3m, No. 225. For the spin magnetization, the calculation gives 0.0 Bohr magnetons per cell. For the energy above the most stable polymorph in this dataset, the calculation gives 0.87 eV/f.u.

a = 4.6657 Å, b = 4.6657 Å, c = 4.6657 Å
α = 60.00°, β = 60.00°, γ = 60.00°
Closest atoms and distances in Å follow each position.
Sites, in units of the cell vectors:
Nb1 0.2500 0.2500 0.2500  4 In 2.86, 4 Tc 2.86
Nb2 0.7500 0.7500 0.7500  4 Tc 2.86, 4 In 2.86
In1 0.0000 0.0000 0.0000  8 Nb 2.86
Tc1 0.5000 0.5000 0.5000  8 Nb 2.86